Record 1
First-principles (GGA-PBE) data for a geometry-optimized AgCN structure, as listed in Alexandria.

Cell and atoms, written as POSCAR:
```
AgCN
1.0
-2.113 -0.420 1.445
1.677 -6.333 1.004
2.805 2.778 2.438
Ag N C
2 2 2
Direct
0.091 0.357 0.208 Ag
0.909 0.643 0.792 Ag
0.825 0.119 0.661 N
0.175 0.881 0.339 N
0.769 0.876 0.516 C
0.231 0.124 0.484 C
```

Calculated values
**Density**: 6.224 g/cm3
**Total magnetic moment**: 0.000 μB per formula unit
**Formation energy from raw total energies**: 3.0 eV/f.u.
**DOS at the Fermi energy**: 1.0 states/eV/cell
**Excess energy over the best structure of this formula in the dataset**: 527 meV per atom
**E**: -0.427 Ry/atom


Record 2
First-principles (GGA-PBE) data for a geometry-optimized TiCuHIr2 structure, as listed in Alexandria.

Cell and atoms, written as POSCAR:
```
TiCuHIr2
1.0
-3.528 -0.328 1.899
-1.081 -2.942 -2.517
1.445 -2.463 2.259
Ir Cu Ti H
2 1 1 1
Direct
0.500 0.000 0.000 Ir
0.000 0.500 0.000 Ir
0.000 0.000 0.500 Cu
0.500 0.500 0.500 Ti
0.000 0.000 0.000 H
```

Calculated values
**Density**: 14.023 g/cm3
**Total magnetic moment**: 0.000 μB per formula unit
**DOS at the Fermi energy**: 0.6 states/eV/cell
**Excess energy over the best structure of this formula in the dataset**: 0 meV per atom
**E**: -0.511 Ry/atom


Record 3
First-principles (GGA-PBE) data for a geometry-optimized Ho4Si2C structure, as listed in Alexandria.

Cell and atoms, written as POSCAR:
```
Ho4Si2C
1.0
-1.492 -1.691 -4.064
-3.984 -1.307 2.007
-0.288 8.167 -0.635
Si C Ho
2 1 4
Direct
0.364 0.364 0.728 Si
0.636 0.636 0.272 Si
0.000 0.000 0.000 C
0.832 0.832 0.663 Ho
0.168 0.168 0.337 Ho
0.500 0.000 0.000 Ho
0.000 0.500 0.000 Ho
```

Calculated values
**Density**: 7.450 g/cm3
**Total magnetic moment**: 0.000 μB per formula unit
**Formation energy from raw total energies**: -3.8 eV/f.u.
**DOS at the Fermi energy**: 1.0 states/eV/cell
**Excess energy over the best structure of this formula in the dataset**: 12 meV per atom
**E**: -0.443 Ry/atom


Record 4
First-principles (GGA-PBE) data for a geometry-optimized Cs12In3Hg5 structure, as listed in Alexandria.

Cell and atoms, written as POSCAR:
```
Cs12In3Hg5
1.0
19.735 0.000 0.000
-6.578 18.607 0.000
-6.578 -9.303 16.114
Cs Hg In
48 20 12
Direct
0.673 0.447 0.578 Cs
0.595 0.869 0.422 Cs
0.327 0.553 0.422 Cs
0.774 0.447 0.369 Cs
0.905 0.827 0.774 Cs
0.131 0.405 0.078 Cs
0.078 0.173 0.447 Cs
0.405 0.131 0.578 Cs
0.827 0.922 0.053 Cs
0.327 0.774 0.405 Cs
0.095 0.922 0.369 Cs
0.405 0.274 0.327 Cs
0.274 0.869 0.947 Cs
0.053 0.631 0.726 Cs
0.422 0.053 0.327 Cs
0.631 0.053 0.226 Cs
0.226 0.673 0.095 Cs
0.053 0.422 0.827 Cs
0.173 0.078 0.947 Cs
0.869 0.595 0.922 Cs
0.947 0.578 0.173 Cs
0.447 0.673 0.078 Cs
0.631 0.578 0.905 Cs
0.369 0.947 0.774 Cs
0.226 0.553 0.631 Cs
0.095 0.173 0.226 Cs
0.726 0.595 0.173 Cs
0.827 0.905 0.274 Cs
0.726 0.131 0.053 Cs
0.578 0.947 0.673 Cs
0.553 0.226 0.131 Cs
0.578 0.631 0.405 Cs
0.922 0.827 0.553 Cs
0.553 0.327 0.922 Cs
0.274 0.405 0.827 Cs
0.131 0.726 0.553 Cs
0.447 0.774 0.869 Cs
0.774 0.327 0.905 Cs
0.905 0.078 0.631 Cs
0.078 0.905 0.131 Cs
0.869 0.274 0.447 Cs
0.673 0.226 0.595 Cs
0.173 0.095 0.726 Cs
0.595 0.726 0.673 Cs
0.947 0.369 0.274 Cs
0.369 0.422 0.095 Cs
0.422 0.369 0.595 Cs
0.922 0.095 0.869 Cs
0.000 0.000 0.000 Hg
0.875 0.250 0.625 Hg
0.000 0.000 0.500 Hg
0.750 0.125 0.875 Hg
0.375 0.250 0.125 Hg
0.250 0.875 0.125 Hg
0.125 0.750 0.375 Hg
0.500 0.000 0.000 Hg
0.500 0.500 0.000 Hg
0.375 0.125 0.750 Hg
0.000 0.500 0.500 Hg
0.875 0.625 0.750 Hg
0.000 0.500 0.000 Hg
0.500 0.500 0.500 Hg
0.125 0.375 0.250 Hg
0.250 0.375 0.625 Hg
0.500 0.000 0.500 Hg
0.625 0.750 0.875 Hg
0.625 0.875 0.250 Hg
0.750 0.625 0.375 Hg
0.125 0.875 0.750 In
0.250 0.125 0.375 In
0.625 0.250 0.375 In
0.375 0.625 0.250 In
0.250 0.625 0.875 In
0.750 0.375 0.125 In
0.125 0.250 0.875 In
0.375 0.750 0.625 In
0.875 0.750 0.125 In
0.750 0.875 0.625 In
0.875 0.125 0.250 In
0.625 0.375 0.750 In
```

Calculated values
**Density**: 3.303 g/cm3
**Total magnetic moment**: 1.688 μB per formula unit
**DOS at the Fermi energy**: 85.5 states/eV/cell
**Energy relative to the elements**: 0.50 eV per formula unit
**E**: -0.072 Ry/atom


Record 5
First-principles (GGA-PBE) data for a geometry-optimized Dy3BiPb structure, as listed in Alexandria.

Cell and atoms, written as POSCAR:
```
Dy3BiPb
1.0
-4.096 0.550 1.932
-1.220 -7.320 -0.503
3.953 0.016 8.377
Bi Dy Pb
2 6 2
Direct
0.250 0.202 0.128 Bi
0.750 0.798 0.872 Bi
0.750 0.980 0.288 Dy
0.250 0.020 0.712 Dy
0.750 0.468 0.318 Dy
0.250 0.672 0.075 Dy
0.250 0.532 0.682 Dy
0.750 0.328 0.925 Dy
0.750 0.247 0.582 Pb
0.250 0.753 0.418 Pb
```

Calculated values
**Density**: 9.635 g/cm3
**Total magnetic moment**: 0.000 μB per formula unit
**DOS at the Fermi energy**: 7.3 states/eV/cell
**Energy relative to the elements**: -2.46 eV per formula unit
**E**: -0.351 Ry/atom


Record 6
First-principles (GGA-PBE) data for a geometry-optimized RbTl3Cd structure, as listed in Alexandria.

Cell and atoms, written as POSCAR:
```
RbTl3Cd
1.0
4.947 -0.006 1.713
-0.596 4.907 1.718
0.185 0.203 7.498
Tl Rb Cd
3 1 1
Direct
0.147 0.451 0.410 Tl
0.648 0.950 0.411 Tl
0.790 0.594 0.126 Tl
0.402 0.206 0.900 Rb
0.020 0.824 0.664 Cd
```

Calculated values
**Density**: 7.544 g/cm3
**Total magnetic moment**: 0.000 μB per formula unit
**DOS at the Fermi energy**: 2.0 states/eV/cell
**Excess energy over the best structure of this formula in the dataset**: 0 meV per atom
**Energy relative to the elements**: -0.32 eV per formula unit
**E**: -0.137 Ry/atom


Record 7
First-principles (GGA-PBE) data for a geometry-optimized K2Al3PbF12 structure, as listed in Alexandria.

Cell and atoms, written as POSCAR:
```
K2Al3PbF12
1.0
7.277 0.081 0.058
3.664 6.287 0.058
3.664 2.133 5.915
F Al K Pb
12 3 2 1
Direct
0.903 0.285 0.285 F
0.097 0.715 0.715 F
0.285 0.285 0.903 F
0.879 0.446 0.879 F
0.121 0.554 0.121 F
0.715 0.097 0.715 F
0.554 0.121 0.121 F
0.285 0.903 0.285 F
0.715 0.715 0.097 F
0.879 0.879 0.446 F
0.446 0.879 0.879 F
0.121 0.121 0.554 F
0.000 0.500 0.000 Al
0.000 0.000 0.500 Al
0.500 0.000 0.000 Al
0.625 0.625 0.625 K
0.375 0.375 0.375 K
0.000 0.000 0.000 Pb
```

Calculated values
**Density**: 3.695 g/cm3
**Total magnetic moment**: 1.042 μB per formula unit
**Formation energy from raw total energies**: -55.8 eV/f.u.
**DOS at the Fermi energy**: 1.1 states/eV/cell
**E**: -0.389 Ry/atom


Record 8
First-principles (GGA-PBE) data for a geometry-optimized Pr4SmTl4 structure, as listed in Alexandria.

Cell and atoms, written as POSCAR:
```
Pr4SmTl4
1.0
-7.338 -1.273 0.664
1.240 -7.363 -0.409
1.049 -0.423 10.782
Tl Pr Sm
8 8 2
Direct
0.000 0.256 0.732 Tl
0.244 0.500 0.232 Tl
0.256 0.000 0.268 Tl
0.744 0.000 0.268 Tl
0.500 0.244 0.768 Tl
0.000 0.744 0.732 Tl
0.500 0.756 0.768 Tl
0.756 0.500 0.232 Tl
0.000 0.276 0.425 Pr
0.776 0.500 0.925 Pr
0.276 0.000 0.575 Pr
0.500 0.224 0.075 Pr
0.000 0.724 0.425 Pr
0.500 0.776 0.075 Pr
0.224 0.500 0.925 Pr
0.724 0.000 0.575 Pr
0.500 0.500 0.500 Sm
0.000 0.000 0.000 Sm
```

Calculated values
**Density**: 8.391 g/cm3
**Total magnetic moment**: 0.000 μB per formula unit
**DOS at the Fermi energy**: 15.2 states/eV/cell
**Energy relative to the elements**: -0.76 eV per formula unit
**E**: -0.278 Ry/atom